Record 1
PBE Ho2Tm3Th4, relaxed; symmetry = No. 15; crystal system = monoclinic; density of states at the Fermi level = 12.51 states/eV/f.u.; energy above the lowest structure with this stoichiometry = 38.5 meV per atom; formation enthalpy at 0 K = 0.180 eV/atom
1.0
6.316 0.202 0.144
0.334 9.492 -1.417
0.334 1.717 9.443
Ho Tm Th
4 6 8
Direct
0.873 0.443 0.808 Ho
0.127 0.557 0.192 Ho
0.627 0.192 0.557 Ho
0.373 0.808 0.443 Ho
0.118 0.092 0.684 Tm
0.618 0.684 0.092 Tm
0.250 0.458 0.542 Tm
0.882 0.908 0.316 Tm
0.750 0.542 0.458 Tm
0.382 0.316 0.908 Tm
0.405 0.026 0.169 Th
0.595 0.974 0.831 Th
0.082 0.231 0.343 Th
0.582 0.343 0.231 Th
0.918 0.769 0.657 Th
0.095 0.831 0.974 Th
0.418 0.657 0.769 Th
0.905 0.169 0.026 Th

Record 2
PBE Sm2Hg2Pd15, relaxed; symmetry = No. 166; crystal system = trigonal; density of states at the Fermi level = 19.55 states/eV/f.u.; formation enthalpy at 0 K = -0.333 eV/atom
1.0
-0.946 -6.485 -2.579
6.469 -0.987 -2.603
2.703 -3.620 5.403
Pd Sm Hg
15 2 2
Direct
0.500 0.000 0.000 Pd
0.313 0.000 0.687 Pd
0.347 0.837 0.347 Pd
0.687 0.313 0.000 Pd
0.347 0.347 0.837 Pd
0.000 0.000 0.500 Pd
0.653 0.653 0.163 Pd
0.687 0.000 0.313 Pd
0.313 0.687 0.000 Pd
0.000 0.500 0.000 Pd
0.653 0.163 0.653 Pd
0.163 0.653 0.653 Pd
0.000 0.313 0.687 Pd
0.000 0.687 0.313 Pd
0.837 0.347 0.347 Pd
0.349 0.349 0.349 Sm
0.651 0.651 0.651 Sm
0.102 0.102 0.102 Hg
0.898 0.898 0.898 Hg

Record 3
PBE Mg2CuAsN, relaxed; uncorrected formation energy = 761 meV per atom; symmetry = No. 123; crystal system = tetragonal; density of states at the Fermi level = 1.86 states/eV/f.u.
1.0
5.138 0.000 0.000
0.000 3.823 0.000
0.000 0.000 5.138
Cu N Mg As
1 1 2 1
Direct
0.500 0.500 0.500 Cu
0.000 0.500 0.000 N
0.500 0.000 0.000 Mg
0.000 0.000 0.500 Mg
0.000 0.000 0.000 As

Record 4
PBE CaLa2Au, relaxed; symmetry = No. 10; crystal system = monoclinic; density of states at the Fermi level = 5.35 states/eV/f.u.; energy above the lowest structure with this stoichiometry = 40.1 meV per atom; formation enthalpy at 0 K = -0.339 eV/atom
1.0
-2.168 -0.468 3.168
1.982 -3.230 0.878
7.896 1.711 5.656
Ca La Au
1 2 1
Direct
0.500 0.750 0.750 Ca
0.000 0.563 0.437 La
0.000 0.937 0.063 La
0.500 0.250 0.250 Au

Question: Among the records above, which one has the highest density of states at the Fermi level?
Answer: Sm2Hg2Pd15